# GGA-PBE CoTcAu2, relaxed
# formation energy	0.459	eV/atom
data_CoTcAu2
_symmetry_space_group_name_H-M 'I 4/m m m'
_symmetry_Int_Tables_number 139
_symmetry_space_group_name_Hall '-I 4 2'
_cell_length_a 3.923
_cell_length_b 3.923
_cell_length_c 8.102
_cell_angle_alpha 90.00
_cell_angle_beta 90.00
_cell_angle_gamma 90.00
loop_
_atom_site_label
_atom_site_fract_x
_atom_site_fract_y
_atom_site_fract_z
Co1 0.000 0.000 0.000
Tc1 0.000 0.000 0.500
Au1 0.000 0.500 0.250